Entry 1:
Here is crystalline DyAg2SO6 at its relaxed geometry from the Alexandria database. Energies are from PBE-GGA.

a b c (Å): 5.818 5.818 5.656
angles (deg): 90.00 90.00 120.00
Positions (direct):
Dy1 0.000 0.000 0.000
Ag1 0.333 0.667 0.483
Ag2 0.667 0.333 0.517
S1 0.000 0.000 0.500
O1 0.136 0.271 0.678
O2 0.136 0.864 0.678
O3 0.271 0.136 0.322
O4 0.729 0.864 0.678
O5 0.864 0.136 0.322
O6 0.864 0.729 0.322

## Properties
space group	No. 164
calculated total energy	-53.983	eV/cell
N(E_F)	8.823	states/eV/cell
size of the total moment	0.00	μB per formula unit
raw formation energy	-94.6	kJ/mol of atoms



Entry 2:
Here is crystalline BaLa2Co at its relaxed geometry from the Alexandria database. Energies are from PBE-GGA.

a b c (Å): 3.636 3.636 10.298
angles (deg): 90.00 90.00 90.00
Positions (direct):
Ba1 0.000 0.000 0.000
La1 0.500 0.500 0.346
La2 0.500 0.500 0.654
Co1 0.000 0.000 0.500

## Properties
space group	No. 123
calculated total energy	-18.584	eV/cell
N(E_F)	4.681	states/eV/cell
formation energy from the elements	0.07	eV per atom
size of the total moment	0.00	μB per formula unit



Entry 3:
Here is crystalline GeRh2Pb2 at its relaxed geometry from the Alexandria database. Energies are from PBE-GGA.

a b c (Å): 6.480 6.480 4.946
angles (deg): 90.00 90.00 90.00
Positions (direct):
Ge1 0.000 0.000 0.000
Ge2 0.500 0.500 0.000
Rh1 0.150 0.350 0.000
Rh2 0.350 0.850 0.000
Rh3 0.650 0.150 0.000
Rh4 0.850 0.650 0.000
Pb1 0.172 0.672 0.500
Pb2 0.328 0.172 0.500
Pb3 0.672 0.828 0.500
Pb4 0.828 0.328 0.500

## Properties
space group	No. 127
calculated total energy	-53.698	eV/cell
N(E_F)	4.245	states/eV/cell
formation energy from the elements	-0.02	eV per atom
size of the total moment	0.00	μB per formula unit